Compound: Ac2La8Dy
Source: Alexandria via LeMat-Bulk
Functional: PBE
Structure: optimized geometry

formation energy from the elements: 118.2 meV per atom
DFT total energy: -4.63 eV per atom

Lattice parameters (Å, degrees): 9.2051 9.2051 7.0891 100.49 100.49 45.07
Atoms (fractional coordinates):
Ac: 0.1927 0.1927 0.3168
Ac: 0.8073 0.8073 0.6832
La: 0.1863 0.6488 0.1028
La: 0.2427 0.2427 0.8303
La: 0.3512 0.8137 0.8972
La: 0.4087 0.4087 0.5851
La: 0.5913 0.5913 0.4149
La: 0.6488 0.1863 0.1028
La: 0.7573 0.7573 0.1697
La: 0.8137 0.3512 0.8972
Dy: 0.0000 0.0000 0.5000